Entry 1:
Density functional theory data (PBE-GGA) for an optimized crystal structure of Ac4PbS3.

Lattice parameters (Å, degrees): 4.4906 6.3306 8.9130 90.00 90.00 90.00
With the nearest neighbours (Å) after each atom.
Space group Pmmm (No. 47)
Symmetry-distinct sites (fractional):
Ac  0.0000  0.0000  0.0000 x1  6 S 3.12-3.17
Ac  0.0000  0.0000  0.5000 x1  2 Pb 3.17, 4 S 3.21
Ac  0.5000  0.5000  0.2329 x2  4 S 3.06-3.17, 2 Pb 3.27
Pb  0.0000  0.5000  0.5000 x1  6 Ac 3.17-3.27
S  0.0000  0.5000  0.0000 x1  6 Ac 3.06-3.17
S  0.5000  0.0000  0.2423 x2  6 Ac 3.12-3.21

Total DFT energy (no corrections): -45.18 eV per cell
V: 31.67 A^3/atom
ΔE_f (raw): -1583 meV per atom
Size of the total moment: 0.000 μB/atom


Entry 2:
Density functional theory data (PBE-GGA) for an optimized crystal structure of Cs3Na2Tl4.

Lattice parameters (Å, degrees): 5.7561 7.7578 11.0787 70.05 89.81 68.68
With the nearest neighbours (Å) after each atom.
Space group P-1 (No. 2)
Symmetry-distinct sites (fractional):
Cs  0.0000  0.0000  0.0000 x1  6 Tl 4.10-4.43, 2 Na 4.41
Cs  0.3810  0.2401  0.6317 x2  2 Na 4.01-4.24, 6 Tl 4.14-4.25
Na  0.3148  0.3563  0.2284 x2  5 Tl 3.26-3.31
Tl  0.0992  0.8211  0.6277 x2  2 Tl 3.06-3.17, 2 Na 3.31
Tl  0.2563  0.4966  0.9121 x2  3 Tl 3.17-3.52, 3 Na 3.26-3.27

Total DFT energy (no corrections): -15.29 eV per cell
V: 47.67 A^3/atom
Size of the total moment: 0.000 μB/atom


Entry 3:
Density functional theory data (PBE-GGA) for an optimized crystal structure of K2CrFe.

Lattice parameters (Å, degrees): 3.3984 5.5903 6.2305 90.00 91.29 90.00
With the nearest neighbours (Å) after each atom.
Space group P2/m (No. 10)
Symmetry-distinct sites (fractional):
K  0.0064  0.0000  0.2551 x2  4 K 3.05-3.40
Cr  0.5000  0.5000  0.0000 x1  2 Fe 3.12, 2 Cr 3.40
Fe  0.5000  0.5000  0.5000 x1  2 Cr 3.12, 2 Fe 3.40

Total DFT energy (no corrections): -15.05 eV per cell
V: 29.58 A^3/atom
Size of the total moment: 0.457 μB/atom


Entry 4:
Density functional theory data (PBE-GGA) for an optimized crystal structure of Zr2NbPd2.

Lattice parameters (Å, degrees): 7.7144 7.7144 3.2297 90.00 90.00 90.00
With the nearest neighbours (Å) after each atom.
Space group P4/mbm (No. 127)
Symmetry-distinct sites (fractional):
Zr  0.1739  0.3261  0.0000 x4  6 Pd 2.71-2.85
Nb  0.0000  0.0000  0.5000 x2  4 Pd 3.04, 2 Nb 3.23, 8 Zr 3.28
Pd  0.1265  0.6265  0.5000 x4  6 Zr 2.71-2.85, 1 Pd 2.76

Total DFT energy (no corrections): -78.45 eV per cell
V: 19.22 A^3/atom
Size of the total moment: 0.111 μB/atom


Entry 5:
Density functional theory data (PBE-GGA) for an optimized crystal structure of KNi2Ru.

Lattice parameters (Å, degrees): 2.5891 4.9289 10.1423 90.00 90.00 90.00
With the nearest neighbours (Å) after each atom.
Space group Imm2 (No. 44)
Symmetry-distinct sites (fractional):
K  0.0000  0.0000  0.0000 x2  2 K 2.59, 4 Ni 2.78
Ni  0.0000  0.0000  0.4948 x2  4 Ni 2.50-2.59, 2 Ru 2.52, 4 K 2.78
Ni  0.0000  0.5000  0.7840 x2  4 Ni 2.50-2.59
Ru  0.0000  0.5000  0.2076 x2  2 Ni 2.52, 2 Ru 2.59

Total DFT energy (no corrections): -37.26 eV per cell
V: 16.18 A^3/atom
Size of the total moment: 0.447 μB/atom


Entry 6:
Density functional theory data (PBE-GGA) for an optimized crystal structure of Ho5In2Co2.

Lattice parameters (Å, degrees): 16.6139 7.2727 7.2590 90.00 90.00 90.00
With the nearest neighbours (Å) after each atom.
Space group Cmce (No. 64)
Symmetry-distinct sites (fractional):
Ho  0.0000  0.0000  0.0000 x4  4 Co 2.93-2.94, 4 Ho 3.27
Ho  0.1159  0.1840  0.3201 x16  3 Co 2.87-2.93, 1 In 3.19
In  0.2283  0.0000  0.0000 x8  6 Ho 3.19-3.27
Co  0.0000  0.1118  0.6101 x8  1 Co 2.28

Total DFT energy (no corrections): -180.64 eV per cell
V: 24.36 A^3/atom
Size of the total moment: 0.000 μB/atom


Entry 7:
Density functional theory data (PBE-GGA) for an optimized crystal structure of Sr2LiAs.

Lattice parameters (Å, degrees): 5.2502 5.2502 4.2693 90.00 90.00 90.00
With the nearest neighbours (Å) after each atom.
Space group P4/mmm (No. 123)
Symmetry-distinct sites (fractional):
Sr  0.0000  0.5000  0.0000 x2  4 As 3.38, 4 Li 3.38, 4 Sr 3.71
Li  0.0000  0.0000  0.5000 x1  8 Sr 3.38, 4 As 3.71
As  0.5000  0.5000  0.5000 x1  8 Sr 3.38, 4 Li 3.71

Total DFT energy (no corrections): -12.21 eV per cell
V: 29.42 A^3/atom
Size of the total moment: 0.000 μB/atom


Entry 8:
Density functional theory data (PBE-GGA) for an optimized crystal structure of Sm2ScCl.

Lattice parameters (Å, degrees): 3.5818 3.5818 29.8455 90.00 90.00 120.00
With the nearest neighbours (Å) after each atom.
Space group R-3m (No. 166, hexagonal axes)
Symmetry-distinct sites (fractional):
Sm  0.0000  0.0000  0.2427 x6  3 Cl 3.07, 3 Sc 3.41
Sc  0.0000  0.0000  0.0000 x3  6 Sm 3.41, 6 Sc 3.58
Cl  0.0000  0.0000  0.5000 x3  6 Sm 3.07

Total DFT energy (no corrections): -60.32 eV per cell
V: 27.63 A^3/atom
ΔE_f (raw): -622 meV per atom
Size of the total moment: 0.004 μB/atom